[1]
Entry from Alexandria: crystalline Ag2NO at its relaxed geometry (PBE).

Properties
DOS(E_F) ... 1.1 states/eV/f.u.
Total energy ... -0.2840 Ry per atom
ΔE to the lowest computed polymorph ... 0 meV per atom
Energy relative to the elements, uncorrected ... 0.882 eV/atom

Structure (POSCAR):
```
Ag2NO
1.0
-0.364 4.896 2.891
-5.683 -0.403 -0.033
-2.919 0.528 4.352
O Ag N
2 4 2
direct
0.000 0.000 0.000
0.750 0.250 0.500
0.612 0.125 0.250
0.138 0.625 0.250
0.375 0.388 0.750
0.875 0.862 0.750
0.500 0.500 0.000
0.250 0.750 0.500
```

=====

[2]
Entry from Alexandria: crystalline AgOsNO2 at its relaxed geometry (PBE).

Properties
DOS(E_F) ... 3.8 states/eV/f.u.
Total energy ... -0.4745 Ry per atom
Energy relative to the elements, uncorrected ... 0.009 eV/atom

Structure (POSCAR):
```
AgOsNO2
1.0
-1.633 -3.567 0.023
3.534 -1.621 -0.525
0.477 -0.194 3.811
Os O Ag N
1 2 1 1
direct
0.000 0.000 0.000
0.000 0.500 0.000
0.500 0.000 0.000
0.500 0.500 0.500
0.000 0.000 0.500
```

=====

[3]
Entry from Alexandria: crystalline AgOsNO2 at its relaxed geometry (PBE).

Properties
DOS(E_F) ... 3.1 states/eV/f.u.
Total energy ... -0.3357 Ry per atom
Energy relative to the elements, uncorrected ... 1.897 eV/atom

Structure (POSCAR):
```
AgOsNO2
1.0
3.967 0.000 0.000
0.000 3.967 0.000
0.000 0.000 4.112
Os O Ag N
1 2 1 1
direct
0.500 0.500 0.500
0.000 0.500 0.000
0.500 0.000 0.000
0.000 0.000 0.000
0.000 0.000 0.500
```

=====

[4]
Entry from Alexandria: crystalline AgPNO2 at its relaxed geometry (PBE).

Properties
DOS(E_F) ... 2.0 states/eV/f.u.
Total energy ... -0.3905 Ry per atom
Energy relative to the elements, uncorrected ... -0.013 eV/atom

Structure (POSCAR):
```
AgPNO2
1.0
3.346 0.000 0.000
0.000 3.346 0.000
0.000 0.000 4.256
P O Ag N
1 2 1 1
direct
0.000 0.000 0.000
0.000 0.500 0.000
0.500 0.000 0.000
0.500 0.500 0.500
0.000 0.000 0.500
```

=====

[5]
Entry from Alexandria: crystalline AgPNO2 at its relaxed geometry (PBE).

Properties
DOS(E_F) ... 1.6 states/eV/f.u.
Total energy ... -0.2807 Ry per atom
Energy relative to the elements, uncorrected ... 1.481 eV/atom

Structure (POSCAR):
```
AgPNO2
1.0
3.956 0.000 0.000
0.000 3.956 0.000
0.000 0.000 4.079
P O Ag N
1 2 1 1
direct
0.500 0.500 0.500
0.000 0.500 0.000
0.500 0.000 0.000
0.000 0.000 0.000
0.000 0.000 0.500
```

=====

[6]
Entry from Alexandria: crystalline AgPNO2 at its relaxed geometry (PBE).

Properties
DOS(E_F) ... 3.8 states/eV/f.u.
Total energy ... -0.2618 Ry per atom
Energy relative to the elements, uncorrected ... 1.738 eV/atom

Structure (POSCAR):
```
AgPNO2
1.0
3.862 0.000 0.000
0.000 3.862 0.000
0.000 0.000 5.300
P O Ag N
1 2 1 1
direct
0.000 0.000 0.500
0.000 0.500 0.000
0.500 0.000 0.000
0.000 0.000 0.000
0.500 0.500 0.500
```

=====

[7]
Entry from Alexandria: crystalline AgPN2O at its relaxed geometry (PBE).

Properties
DOS(E_F) ... 2.4 states/eV/f.u.
Total energy ... -0.3897 Ry per atom
Energy relative to the elements, uncorrected ... 0.672 eV/atom

Structure (POSCAR):
```
AgPN2O
1.0
3.646 0.000 0.000
0.000 3.646 0.000
0.000 0.000 3.510
P O Ag N
1 1 1 2
direct
0.000 0.000 0.000
0.000 0.000 0.500
0.500 0.500 0.500
0.000 0.500 0.000
0.500 0.000 0.000
```

=====

[8]
Entry from Alexandria: crystalline AgP2NO at its relaxed geometry (PBE).

Properties
DOS(E_F) ... 2.1 states/eV/f.u.
Total energy ... -0.3218 Ry per atom
ΔE to the lowest computed polymorph ... 0 meV per atom
Energy relative to the elements, uncorrected ... 1.013 eV/atom

Structure (POSCAR):
```
AgP2NO
1.0
4.013 0.000 0.000
0.000 4.013 0.000
0.000 0.000 3.896
P O Ag N
2 1 1 1
direct
0.000 0.500 0.000
0.500 0.000 0.000
0.000 0.000 0.500
0.500 0.500 0.500
0.000 0.000 0.000
```

=====

[9]
Entry from Alexandria: crystalline AgP2NO at its relaxed geometry (PBE).

Properties
DOS(E_F) ... 5.3 states/eV/f.u.
Total energy ... -0.2435 Ry per atom
ΔE to the lowest computed polymorph ... 1065 meV per atom
Energy relative to the elements, uncorrected ... 2.078 eV/atom

Structure (POSCAR):
```
AgP2NO
1.0
-1.445 -3.375 -3.057
1.656 -3.377 2.945
-3.422 -0.136 1.768
P O Ag N
2 1 1 1
direct
0.000 0.500 0.000
0.500 0.000 0.000
0.000 0.000 0.500
0.000 0.000 0.000
0.500 0.500 0.500
```

=====

[10]
Entry from Alexandria: crystalline AgPNO2 at its relaxed geometry (PBE).

Properties
DOS(E_F) ... 1.8 states/eV/f.u.
Total energy ... -0.3110 Ry per atom
Energy relative to the elements, uncorrected ... 1.069 eV/atom

Structure (POSCAR):
```
AgPNO2
1.0
3.956 0.000 0.000
0.000 3.956 0.000
0.000 0.000 3.586
P O Ag N
1 2 1 1
direct
0.000 0.000 0.500
0.000 0.500 0.000
0.500 0.000 0.000
0.500 0.500 0.500
0.000 0.000 0.000
```

=====

[11]
Entry from Alexandria: crystalline AgPN2O at its relaxed geometry (PBE).

Properties
DOS(E_F) ... 4.7 states/eV/f.u.
Total energy ... -0.2793 Ry per atom
Energy relative to the elements, uncorrected ... 2.174 eV/atom

Structure (POSCAR):
```
AgPN2O
1.0
4.037 0.000 0.000
0.000 4.037 0.000
0.000 0.000 3.951
P O Ag N
1 1 1 2
direct
0.500 0.500 0.500
0.000 0.000 0.500
0.000 0.000 0.000
0.000 0.500 0.000
0.500 0.000 0.000
```

=====

[12]
Entry from Alexandria: crystalline AgPbN2O at its relaxed geometry (PBE).

Properties
DOS(E_F) ... 2.3 states/eV/f.u.
Total energy ... -0.3180 Ry per atom
Energy relative to the elements, uncorrected ... 1.308 eV/atom

Structure (POSCAR):
```
AgPbN2O
1.0
4.128 0.000 0.000
0.000 4.128 0.000
0.000 0.000 4.385
Pb O Ag N
1 1 1 2
direct
0.500 0.500 0.500
0.000 0.000 0.500
0.000 0.000 0.000
0.000 0.500 0.000
0.500 0.000 0.000
```

=====

[13]
Entry from Alexandria: crystalline AgPbNO2 at its relaxed geometry (PBE).

Properties
DOS(E_F) ... 1.2 states/eV/f.u.
Total energy ... -0.3134 Ry per atom
Energy relative to the elements, uncorrected ... 0.696 eV/atom

Structure (POSCAR):
```
AgPbNO2
1.0
4.338 0.000 0.000
0.000 4.338 0.000
0.000 0.000 4.473
Pb O Ag N
1 2 1 1
direct
0.000 0.000 0.000
0.000 0.500 0.000
0.500 0.000 0.000
0.500 0.500 0.500
0.000 0.000 0.500
```

=====

[14]
Entry from Alexandria: crystalline AgPbNO2 at its relaxed geometry (PBE).

Properties
DOS(E_F) ... 1.8 states/eV/f.u.
Total energy ... -0.3228 Ry per atom
Energy relative to the elements, uncorrected ... 0.569 eV/atom

Structure (POSCAR):
```
AgPbNO2
1.0
4.269 0.000 0.000
0.000 4.269 0.000
0.000 0.000 4.011
Pb O Ag N
1 2 1 1
direct
0.500 0.500 0.500
0.000 0.500 0.000
0.500 0.000 0.000
0.000 0.000 0.000
0.000 0.000 0.500
```

=====

[15]
Entry from Alexandria: crystalline AgPbN2O at its relaxed geometry (PBE).

Properties
DOS(E_F) ... 1.3 states/eV/f.u.
Total energy ... -0.3051 Ry per atom
Energy relative to the elements, uncorrected ... 1.483 eV/atom

Structure (POSCAR):
```
AgPbN2O
1.0
4.455 0.000 0.000
0.000 4.455 0.000
0.000 0.000 4.274
Pb O Ag N
1 1 1 2
direct
0.000 0.000 0.000
0.000 0.000 0.500
0.500 0.500 0.500
0.000 0.500 0.000
0.500 0.000 0.000
```

=====

[16]
Entry from Alexandria: crystalline AgPtN2O at its relaxed geometry (PBE).

Properties
DOS(E_F) ... 4.4 states/eV/f.u.
Total energy ... -0.2834 Ry per atom
Energy relative to the elements, uncorrected ... 2.244 eV/atom

Structure (POSCAR):
```
AgPtN2O
1.0
-1.056 1.463 -3.621
0.247 -3.719 -1.575
-3.888 -0.630 0.879
O Ag Pt N
1 1 1 2
direct
0.000 0.000 0.500
0.000 0.000 0.000
0.500 0.500 0.500
0.000 0.500 0.000
0.500 0.000 0.000
```

=====

[17]
Entry from Alexandria: crystalline AgPtN2O at its relaxed geometry (PBE).

Properties
DOS(E_F) ... 3.3 states/eV/f.u.
Total energy ... -0.3549 Ry per atom
Energy relative to the elements, uncorrected ... 1.271 eV/atom

Structure (POSCAR):
```
AgPtN2O
1.0
-1.407 3.342 1.067
-3.376 -0.977 -1.391
-1.174 -1.810 4.121
O Ag Pt N
1 1 1 2
direct
0.000 0.000 0.500
0.500 0.500 0.500
0.000 0.000 0.000
0.000 0.500 0.000
0.500 0.000 0.000
```

=====

[18]
Entry from Alexandria: crystalline RbAgNO2 at its relaxed geometry (PBE).

Properties
DOS(E_F) ... 2.6 states/eV/f.u.
Total energy ... -0.2043 Ry per atom
Energy relative to the elements, uncorrected ... 1.633 eV/atom

Structure (POSCAR):
```
RbAgNO2
1.0
-1.296 -4.800 -0.622
2.501 -1.215 4.168
-4.395 0.814 2.874
O Rb Ag N
2 1 1 1
direct
0.000 0.500 0.000
0.500 0.000 0.000
0.000 0.000 0.000
0.500 0.500 0.500
0.000 0.000 0.500
```

=====

[19]
Entry from Alexandria: crystalline RbAgN2O at its relaxed geometry (PBE).

Properties
DOS(E_F) ... 3.9 states/eV/f.u.
Total energy ... -0.2795 Ry per atom
Energy relative to the elements, uncorrected ... 1.283 eV/atom

Structure (POSCAR):
```
RbAgN2O
1.0
4.321 0.000 0.000
0.000 4.321 0.000
0.000 0.000 4.487
O Rb Ag N
1 1 1 2
direct
0.000 0.000 0.500
0.500 0.500 0.500
0.000 0.000 0.000
0.000 0.500 0.000
0.500 0.000 0.000
```

=====

[20]
Entry from Alexandria: crystalline RbAgNO2 at its relaxed geometry (PBE).

Properties
DOS(E_F) ... 6.5 states/eV/f.u.
Total energy ... -0.2714 Ry per atom
Energy relative to the elements, uncorrected ... 0.720 eV/atom

Structure (POSCAR):
```
RbAgNO2
1.0
-3.888 -1.015 1.810
1.819 0.181 4.010
-0.906 3.892 0.236
O Rb Ag N
2 1 1 1
direct
0.000 0.500 0.000
0.500 0.000 0.000
0.500 0.500 0.500
0.000 0.000 0.000
0.000 0.000 0.500
```

=====

Spin magnetization across the listed records, respectively: 0.000, 0.000, 0.872, 0.000, 0.000, 0.399, 0.272, 0.000, 0.000, 0.000, 0.000, 0.546, 0.413, 0.366, 0.613, 0.542, 0.050, 1.000, 0.825, 0.168 μB/atom.